ZrScNb: relaxed, PBE-GGA.

extended XYZ file:
```
3
Lattice="-1.818 1.818 4.867 1.818 -1.818 4.867 1.818 1.818 -4.867" Properties=species:S:1:pos:R:3 pbc="T T T"
Zr 0.000 0.000 0.000
Sc 0.000 0.000 3.016
Nb 0.000 0.000 6.196
```

Distance to the lowest polymorph of the same formula = 0.000 eV per atom

=====

CuNi6Pt5: relaxed, PBE-GGA.

extended XYZ file:
```
12
Lattice="-1.898 3.656 5.681 1.898 -3.656 5.681 1.898 3.656 -5.681" Properties=species:S:1:pos:R:3 pbc="T T T"
Cu 0.000 0.000 0.000
Ni 1.898 -1.839 3.800
Ni 1.898 1.820 0.000
Ni 0.000 1.817 1.881
Ni 1.898 1.839 3.800
Ni 0.000 1.836 5.681
Ni 0.000 5.495 1.881
Pt 1.898 0.000 1.825
Pt 0.000 0.000 3.769
Pt 0.000 3.656 0.000
Pt 0.000 0.000 7.594
Pt 0.000 3.656 3.857
```

=====

MnV: relaxed, PBE-GGA.

extended XYZ file:
```
12
Lattice="6.672 0.000 0.000 -3.336 5.778 0.000 0.000 0.000 4.073" Properties=species:S:1:pos:R:3 pbc="T T T"
Mn -0.972 2.950 1.018
Mn -0.295 5.144 1.018
Mn 1.267 3.461 1.018
Mn 2.069 2.317 3.054
Mn 3.631 0.634 3.054
Mn 4.308 2.828 3.054
V -0.164 1.798 3.054
V -1.696 5.021 3.054
V 1.475 1.042 1.018
V 1.861 4.736 3.054
V 5.032 0.757 1.018
V 3.500 3.980 1.018
```

=====

Pm2Tm5Zr: relaxed, PBE-GGA.

extended XYZ file:
```
8
Lattice="-2.458 2.458 9.895 2.458 -2.458 9.895 2.458 2.458 -9.895" Properties=species:S:1:pos:R:3 pbc="T T T"
Pm 0.000 0.000 4.931
Pm 0.000 0.000 14.859
Tm 0.000 0.000 0.000
Tm 2.458 0.000 2.319
Tm 2.458 0.000 7.576
Tm 0.000 2.458 2.319
Tm 0.000 2.458 7.576
Zr 0.000 0.000 9.895
```

=====

Nd5Y2Ho12: relaxed, PBE-GGA.

extended XYZ file:
```
19
Lattice="9.162 -3.518 0.000 9.162 3.518 0.000 -3.736 0.000 9.749" Properties=species:S:1:pos:R:3 pbc="T T T"
Nd 0.000 0.000 0.000
Nd 0.894 0.000 6.651
Nd 4.753 0.000 2.817
Nd 9.834 0.000 6.932
Nd 13.694 0.000 3.098
Y 7.294 1.619 4.874
Y 7.294 -1.619 4.874
Ho -2.328 0.000 7.300
Ho 3.906 1.779 6.149
Ho 2.519 1.738 9.533
Ho 10.681 1.779 3.600
Ho 12.069 1.738 0.216
Ho 6.029 0.000 8.051
Ho 8.559 0.000 1.698
Ho 2.519 -1.738 9.533
Ho 3.906 -1.779 6.149
Ho 12.069 -1.738 0.216
Ho 10.681 -1.779 3.600
Ho 16.915 0.000 2.449
```

Distance to the lowest polymorph of the same formula = 0.078 eV per atom

=====

KTl2Cd6: relaxed, PBE-GGA.

extended XYZ file:
```
9
Lattice="4.720 0.000 0.000 0.000 4.720 0.000 0.000 0.000 11.119" Properties=species:S:1:pos:R:3 pbc="T T T"
K 0.000 0.000 0.000
Tl 2.360 2.360 1.611
Tl 2.360 2.360 9.509
Cd 0.000 0.000 5.560
Cd 0.000 2.360 3.534
Cd 0.000 2.360 7.585
Cd 2.360 0.000 3.534
Cd 2.360 0.000 7.585
Cd 2.360 2.360 5.560
```

=====

Nd2Tm8Th: relaxed, PBE-GGA.

extended XYZ file:
```
11
Lattice="9.014 -2.504 0.000 9.014 2.504 0.000 -2.071 0.000 7.622" Properties=species:S:1:pos:R:3 pbc="T T T"
Nd 3.826 0.000 1.038
Nd 12.131 0.000 6.584
Tm 0.313 0.000 1.761
Tm 1.020 0.000 5.156
Tm 4.545 0.000 4.522
Tm 7.311 0.000 0.371
Tm 8.647 0.000 7.252
Tm 11.412 0.000 3.100
Tm 14.937 0.000 2.466
Tm 15.644 0.000 5.861
Th 7.979 0.000 3.811
```

Distance to the lowest polymorph of the same formula = 0.000 eV per atom

=====

Pm2DyHoTm6: relaxed, PBE-GGA.

extended XYZ file:
```
20
Lattice="4.464 -7.448 0.000 4.464 7.448 0.000 -1.510 0.000 9.471" Properties=species:S:1:pos:R:3 pbc="T T T"
Pm 2.121 0.777 0.406
Pm 1.366 -0.777 5.142
Pm 6.052 0.777 4.329
Pm 5.297 -0.777 9.064
Dy 3.331 1.393 7.103
Dy 4.086 -1.393 2.368
Ho 4.086 7.170 2.368
Ho 3.331 -7.170 7.103
Tm 2.399 4.116 1.762
Tm 3.043 4.610 5.279
Tm 3.620 4.610 8.926
Tm 2.970 1.573 3.606
Tm 5.774 4.116 2.974
Tm 5.203 1.573 1.130
Tm 2.215 -1.573 8.341
Tm 1.644 -4.116 6.497
Tm 4.448 -1.573 5.865
Tm 3.798 -4.610 0.544
Tm 4.375 -4.610 4.191
Tm 5.019 -4.116 7.709
```

=====

| no. | formation enthalpy at 0 K (eV/atom) |
| --- | --- |
| 1 | 0.1108 |
| 2 | -0.0843 |
| 3 | 0.3253 |
| 4 | 0.0476 |
| 5 | 0.1792 |
| 6 | -0.0271 |
| 7 | 0.0299 |
| 8 | 0.1196 |